Material: CaPrZn
Method: DFT, GGA-PBE
State: relaxed

## Properties
- ΔE to the lowest computed polymorph: 172 meV/atom
- VASP energy: -8.1 eV/cell
- SG: P3m1
- Energy of formation from the pure elements: 0.00 eV/atom

Unit cell a=3.862 b=5.168 c=5.168 alpha=120.00 beta=90.00 gamma=90.00
Fractional coordinates of all 3 atoms:
Zn 0.356 0.333 0.667
Pr 0.056 0.000 0.000
Ca 0.587 0.667 0.333